The following is a meta-GGA SCAN calculation of NiAsAu2 at its PBEsol-relaxed geometry, from Alexandria.

The structure in POSCAR format:
```
NiAsAu2
1.0
2.8851 0.0000 0.0000
-1.4426 2.4986 0.0000
0.0000 0.0000 26.2776
Ni As Au
3 3 6
Direct
0.0000 0.0000 0.0000
0.3333 0.6667 0.6667
0.6667 0.3333 0.3333
0.0000 0.0000 0.5000
0.3333 0.6667 0.1667
0.6667 0.3333 0.8333
0.0000 0.0000 0.2564
0.0000 0.0000 0.7436
0.3333 0.6667 0.4102
0.3333 0.6667 0.9231
0.6667 0.3333 0.0769
0.6667 0.3333 0.5898
```

Properties
crystal system	trigonal
DFT total energy	-521.90	eV/cell
calculated volume	15.8	Å³/atom
magnetic moment	1.1	μB/f.u.

---

The following is a meta-GGA SCAN calculation of NiAsAu2 at its PBEsol-relaxed geometry, from Alexandria.

The structure in POSCAR format:
```
NiAsAu2
1.0
2.8018 0.0000 0.0000
0.0000 2.8018 0.0000
0.0000 0.0000 8.0490
Ni As Au
1 1 2
Direct
0.0000 0.0000 0.0000
0.0000 0.0000 0.5000
0.5000 0.5000 0.2184
0.5000 0.5000 0.7816
```

Properties
crystal system	tetragonal
DFT total energy	-173.95	eV/cell
calculated volume	15.8	Å³/atom
magnetic moment	0.7	μB/f.u.

---

The following is a meta-GGA SCAN calculation of NiAsAu2 at its PBEsol-relaxed geometry, from Alexandria.

The structure in POSCAR format:
```
NiAsAu2
1.0
3.9080 0.0000 0.0000
0.0000 3.9080 0.0000
0.0000 0.0000 8.1133
Ni As Au
2 2 4
Direct
0.0000 0.0000 0.0000
0.5000 0.5000 0.5000
0.0000 0.0000 0.5000
0.5000 0.5000 0.0000
0.0000 0.5000 0.2500
0.0000 0.5000 0.7500
0.5000 0.0000 0.2500
0.5000 0.0000 0.7500
```

Properties
crystal system	tetragonal
DFT total energy	-347.91	eV/cell
calculated volume	15.5	Å³/atom
magnetic moment	0.0	μB/f.u.

---

The following is a meta-GGA SCAN calculation of Sm10As8Au3O10 at its PBEsol-relaxed geometry, from Alexandria.

The structure in POSCAR format:
```
Sm10As8Au3O10
1.0
-4.5174 4.5174 7.1573
4.5174 -4.5174 7.1573
4.5174 4.5174 -7.1573
Sm As Au O
10 8 3 10
Direct
0.0296 0.2253 0.6047
0.1652 0.1652 0.0000
0.2253 0.6206 0.1957
0.3794 0.5751 0.6047
0.4249 0.0296 0.8043
0.5751 0.9704 0.1957
0.6206 0.4249 0.3953
0.7747 0.3794 0.8043
0.8348 0.8348 0.0000
0.9704 0.7747 0.3953
0.0870 0.2253 0.3123
0.2253 0.9130 0.1383
0.2510 0.6298 0.8808
0.3702 0.2510 0.6212
0.6298 0.7490 0.3788
0.7490 0.3702 0.1192
0.7747 0.0870 0.8617
0.9130 0.7747 0.6877
0.0000 0.5000 0.5000
0.5000 0.0000 0.5000
0.5000 0.5000 0.0000
0.0487 0.3471 0.9024
0.1464 0.0487 0.7016
0.2500 0.7500 0.5000
0.3471 0.4447 0.2984
0.4447 0.1464 0.0976
0.5553 0.8536 0.9024
0.6529 0.5553 0.7016
0.7500 0.2500 0.5000
0.8536 0.9513 0.2984
0.9513 0.6529 0.0976
```

Properties
crystal system	tetragonal
DFT total energy	-952.96	eV/cell
calculated volume	18.8	Å³/atom
magnetic moment	0.0	μB/f.u.

---

The following is a meta-GGA SCAN calculation of As2OsAu at its PBEsol-relaxed geometry, from Alexandria.

The structure in POSCAR format:
```
As2OsAu
1.0
4.5544 0.0000 0.0000
0.0000 4.5544 0.0000
0.0000 0.0000 3.0942
As Os Au
2 1 1
Direct
0.0000 0.5000 0.0000
0.5000 0.0000 0.0000
0.0000 0.0000 0.5000
0.5000 0.5000 0.5000
```

Properties
crystal system	tetragonal
DFT total energy	-179.08	eV/cell
polymorph energy (0 for the lowest one)	97.7	meV per atom
calculated volume	16.0	Å³/atom
magnetic moment	0.0	μB/f.u.

---

The following is a meta-GGA SCAN calculation of As2OsAu at its PBEsol-relaxed geometry, from Alexandria.

The structure in POSCAR format:
```
As2OsAu
1.0
2.9046 0.0000 0.0000
0.0000 4.8881 0.0000
0.0000 0.0000 9.7063
As Os Au
4 2 2
Direct
0.0000 0.0000 0.0000
0.0000 0.5000 0.3102
0.5000 0.0000 0.3102
0.5000 0.5000 0.0000
0.0000 0.0000 0.5136
0.5000 0.5000 0.5136
0.0000 0.5000 0.7605
0.5000 0.0000 0.7605
```

Properties
crystal system	orthorhombic
DFT total energy	-358.95	eV/cell
polymorph energy (0 for the lowest one)	0.0	meV per atom
calculated volume	17.2	Å³/atom
magnetic moment	0.0	μB/f.u.

---

The following is a meta-GGA SCAN calculation of AsOsAu2 at its PBEsol-relaxed geometry, from Alexandria.

The structure in POSCAR format:
```
AsOsAu2
1.0
3.0862 0.0000 0.0000
0.0000 3.8990 0.0000
0.0000 0.0000 11.1990
As Os Au
2 2 4
Direct
0.0000 0.0000 0.0000
0.5000 0.5000 0.5000
0.0000 0.0000 0.5000
0.5000 0.5000 0.0000
0.0000 0.5000 0.3025
0.0000 0.5000 0.6975
0.5000 0.0000 0.1975
0.5000 0.0000 0.8025
```

Properties
crystal system	orthorhombic
DFT total energy	-456.82	eV/cell
calculated volume	16.8	Å³/atom
magnetic moment	0.0	μB/f.u.

---

The following is a meta-GGA SCAN calculation of As2OsAu at its PBEsol-relaxed geometry, from Alexandria.

The structure in POSCAR format:
```
As2OsAu
1.0
2.6824 0.0000 0.0000
0.0000 4.7334 0.0000
0.0000 0.0000 5.2068
As Os Au
2 1 1
Direct
0.0000 0.0000 0.2426
0.0000 0.0000 0.7574
0.0000 0.5000 0.0000
0.5000 0.5000 0.5000
```

Properties
crystal system	orthorhombic
DFT total energy	-179.24	eV/cell
polymorph energy (0 for the lowest one)	57.8	meV per atom
calculated volume	16.5	Å³/atom
magnetic moment	0.0	μB/f.u.